# 1
Here is a geometry-optimized Ba2LiTlBr structure from the Alexandria database. Energies are from PBE.

Computed properties:
The calculation puts the raw formation energy at -0.663 eV per atom. The calculation puts the density at 4.77 g/cm³.

Cell and atoms, written as extended XYZ:
```
5
Lattice="6.431 0.000 0.000 0.000 6.431 0.000 0.000 0.000 4.765" Properties=species:S:1:pos:R:3 pbc="T T T"
Tl 3.215 3.215 2.383
Ba 0.000 3.215 0.000
Ba 3.215 0.000 0.000
Br 0.000 0.000 0.000
Li 0.000 0.000 2.383
```

# 2
Here is a geometry-optimized BaLiTlBr4 structure from the Alexandria database. Energies are from PBE.

Computed properties:
The calculation puts the raw formation energy at -1.600 eV per atom. The calculation puts the density at 4.54 g/cm³.

Cell and atoms, written as extended XYZ:
```
14
Lattice="-0.779 -6.927 -2.870 0.686 -2.887 6.783 -8.373 3.123 2.176" Properties=species:S:1:pos:R:3 pbc="T T T"
Ba -3.802 -6.114 3.843
Ba -4.664 -0.577 2.247
Li -2.152 -2.782 5.095
Li -6.314 -3.909 0.995
Tl -7.884 -4.270 5.041
Tl -0.582 -2.422 1.048
Br -5.849 0.821 5.004
Br -2.955 -6.084 -2.269
Br -2.616 -7.512 1.086
Br -5.510 -0.607 8.359
Br -0.901 -4.720 4.143
Br -7.565 -1.972 1.946
Br -4.656 -3.246 5.151
Br -3.809 -3.446 0.939
```

# 3
Here is a geometry-optimized BaLi2TmBr8 structure from the Alexandria database. Energies are from PBE.

Computed properties:
The calculation puts the raw formation energy at -1.543 eV per atom. The calculation puts the density at 4.13 g/cm³.

Cell and atoms, written as extended XYZ:
```
12
Lattice="7.000 0.000 0.000 -3.500 6.063 0.000 0.000 0.000 9.080" Properties=species:S:1:pos:R:3 pbc="T T T"
Ba 0.000 0.000 0.000
Li 3.500 2.021 2.536
Li 0.000 4.042 6.544
Tm 0.000 0.000 4.540
Br 0.000 4.042 9.054
Br 0.992 1.922 2.829
Br 1.339 5.960 2.829
Br 3.500 2.021 0.026
Br 2.161 0.102 6.251
Br 2.508 4.140 6.251
Br 5.831 1.820 6.251
Br -2.331 4.242 2.829
```

# 4
Here is a geometry-optimized BaLiUBr6 structure from the Alexandria database. Energies are from PBE.

Computed properties:
The calculation puts the raw formation energy at -1.614 eV per atom. The calculation puts the density at 4.32 g/cm³.

Cell and atoms, written as extended XYZ:
```
18
Lattice="7.348 0.000 0.000 -3.674 6.364 0.000 0.000 0.000 14.166" Properties=species:S:1:pos:R:3 pbc="T T T"
Ba 0.000 0.000 0.000
Ba 0.000 0.000 7.083
Li 0.000 4.242 3.541
Li 3.674 2.121 10.624
U 3.674 2.121 3.541
U 0.000 4.242 10.624
Br 2.281 4.101 1.913
Br -1.263 2.337 1.913
Br 2.656 0.075 8.996
Br 4.937 4.026 12.253
Br 1.263 2.337 5.170
Br -2.281 4.101 5.170
Br 4.692 0.075 12.253
Br 1.018 6.289 5.170
Br 5.955 2.262 8.996
Br -1.018 6.289 1.913
Br 2.411 4.026 8.996
Br 1.393 2.262 12.253
```

# 5
Here is a geometry-optimized BaLi2UBr8 structure from the Alexandria database. Energies are from PBE.

Computed properties:
The calculation puts the raw formation energy at -1.505 eV per atom. The calculation puts the density at 4.38 g/cm³.

Cell and atoms, written as extended XYZ:
```
12
Lattice="-1.849 4.361 4.830 -4.695 -2.928 -3.892 -0.703 -7.417 6.428" Properties=species:S:1:pos:R:3 pbc="T T T"
Ba 0.000 0.000 0.000
Li -2.971 0.101 3.509
Li -4.276 -6.085 3.857
U -0.352 -3.709 3.214
Br -4.448 -7.892 5.423
Br -2.343 -2.012 2.258
Br -6.047 -2.318 1.499
Br -2.800 1.908 1.943
Br -1.200 -3.666 5.866
Br -4.905 -3.972 5.108
Br -3.721 -1.676 7.886
Br -3.527 -4.308 -0.521
```

# 6
Here is a geometry-optimized BaLiYBr6 structure from the Alexandria database. Energies are from PBE.

Computed properties:
The calculation puts the raw formation energy at -1.892 eV per atom. The calculation puts the density at 3.71 g/cm³.

Cell and atoms, written as extended XYZ:
```
18
Lattice="-6.145 -0.828 3.743 2.294 -5.270 -4.407 7.232 -5.723 10.607" Properties=species:S:1:pos:R:3 pbc="T T T"
Ba 0.000 0.000 0.000
Ba 3.616 -2.861 5.304
Li 1.289 -5.220 0.961
Li 2.092 -6.601 8.982
Y -1.524 -3.739 3.678
Y 4.905 -8.081 6.265
Br -1.442 -4.651 1.014
Br 1.812 -2.721 -0.163
Br 2.349 -3.962 8.114
Br 1.569 -9.100 10.106
Br 1.231 -4.321 3.602
Br 4.069 -5.430 1.069
Br 2.349 -5.483 11.525
Br 1.032 -7.859 1.829
Br -0.688 -6.390 8.875
Br 1.032 -6.337 -1.582
Br 2.150 -7.500 6.341
Br 4.823 -7.169 8.929
```

# 7
Here is a geometry-optimized BaLiY2Br structure from the Alexandria database. Energies are from PBE.

Computed properties:
The calculation puts the raw formation energy at 0.172 eV per atom. The calculation puts the density at 3.35 g/cm³.

Cell and atoms, written as extended XYZ:
```
5
Lattice="-2.570 -4.379 -1.592 6.149 -3.291 -0.876 -0.200 -1.713 5.034" Properties=species:S:1:pos:R:3 pbc="T T T"
Y -0.100 -0.856 2.517
Y -1.285 -2.189 -0.796
Ba 3.075 -1.646 -0.438
Br 1.689 -4.692 1.283
Li 0.000 0.000 0.000
```

# 8
Here is a geometry-optimized BaLi2ZrBr8 structure from the Alexandria database. Energies are from PBE.

Computed properties:
The calculation puts the raw formation energy at -1.568 eV per atom. The calculation puts the density at 3.58 g/cm³.

Cell and atoms, written as extended XYZ:
```
12
Lattice="-2.190 4.385 -4.670 1.170 -3.758 -5.324 -8.475 -3.533 0.436" Properties=species:S:1:pos:R:3 pbc="T T T"
Ba -4.237 -1.767 0.218
Li -6.361 -2.117 -4.633
Li -3.133 -0.789 -4.926
Zr 0.000 0.000 0.000
Br -1.285 -2.775 -4.779
Br -0.689 0.161 -7.477
Br -3.260 1.932 -5.018
Br -8.209 -0.131 -4.779
Br -8.805 -3.067 -2.081
Br -6.235 -4.838 -4.540
Br -4.879 -1.509 -6.609
Br -4.615 -1.397 -2.949
```

# 9
Here is a geometry-optimized BaMgBr2 structure from the Alexandria database. Energies are from PBE.

Computed properties:
The calculation puts the raw formation energy at -1.217 eV per atom. For the energy above the lowest structure with this stoichiometry, the calculation gives 50.7 meV/atom. The calculation puts the density at 3.27 g/cm³.

Cell and atoms, written as extended XYZ:
```
4
Lattice="8.274 0.073 -0.009 5.558 6.129 0.009 -6.628 -3.744 3.243" Properties=species:S:1:pos:R:3 pbc="T T T"
Ba 2.578 2.588 1.626
Br 0.869 0.390 0.000
Br 4.412 -0.227 1.617
Mg 6.262 2.808 0.000
```

# 10
Here is a geometry-optimized Ba4MgBr structure from the Alexandria database. Energies are from PBE.

Computed properties:
The calculation puts the raw formation energy at 0.112 eV per atom. The calculation puts the density at 3.41 g/cm³.

Cell and atoms, written as extended XYZ:
```
6
Lattice="0.000 5.419 5.419 5.419 0.000 5.419 5.419 5.419 0.000" Properties=species:S:1:pos:R:3 pbc="T T T"
Ba 6.777 4.061 6.777
Ba 4.061 6.777 6.777
Ba 6.777 6.777 4.061
Ba 4.061 4.061 4.061
Mg 0.000 0.000 0.000
Br 8.129 8.129 8.129
```

# 11
Here is a geometry-optimized BaMg2Br structure from the Alexandria database. Energies are from PBE.

Computed properties:
The calculation puts the raw formation energy at -0.390 eV per atom. For the energy above the lowest structure with this stoichiometry, the calculation gives 158.5 meV/atom. The calculation puts the density at 2.96 g/cm³.

Cell and atoms, written as extended XYZ:
```
4
Lattice="6.541 0.000 0.000 -3.472 5.544 0.000 0.000 0.000 4.109" Properties=species:S:1:pos:R:3 pbc="T T T"
Ba 3.271 0.000 2.055
Br -1.736 2.772 2.055
Mg 0.000 0.000 0.000
Mg 1.535 2.772 0.000
```

# 12
Here is a geometry-optimized BaMgBr4 structure from the Alexandria database. Energies are from PBE.

Computed properties:
The calculation puts the raw formation energy at -1.813 eV per atom. For the energy above the lowest structure with this stoichiometry, the calculation gives 0.0 meV/atom. The calculation puts the density at 3.79 g/cm³.

Cell and atoms, written as extended XYZ:
```
12
Lattice="-4.526 2.306 5.163 -5.364 -3.838 -2.986 6.916 -5.556 3.462" Properties=species:S:1:pos:R:3 pbc="T T T"
Ba -3.323 -2.922 0.936
Ba 0.348 -4.165 4.703
Mg -2.901 0.155 5.015
Mg -0.073 -7.242 0.624
Br -2.392 -6.203 0.733
Br -7.924 -1.300 2.843
Br -0.045 -3.208 1.453
Br 0.919 -6.938 2.947
Br -0.582 -0.884 4.906
Br -2.929 -3.879 4.186
Br 4.950 -5.787 2.797
Br -3.893 -0.150 2.692
```